La4P2Cl GGA-PBE optimized geometry; final energy = -5.4831 eV/atom; calculated density = 5.181 Mg/m³; volume = 209 Å³/f.u.; ΔE_f (raw) = -6.0 eV per formula unit; M_tot = 0.00 μB/f.u.
1.0
-2.6252 2.6252 7.5925
2.6252 -2.6252 7.5925
2.6252 2.6252 -7.5925
La P Cl
4 2 1
Direct
0.0000 0.5000 0.5000
0.1865 0.1865 0.0000
0.5000 0.0000 0.5000
0.8135 0.8135 0.0000
0.3733 0.3733 0.0000
0.6267 0.6267 0.0000
0.0000 0.0000 0.0000